Here is an optimized crystal structure of Mn3NiO7 from the Alexandria database. Energies are from PBE with a Hubbard U.

SG: C2/m (12)
Raw total energy, eV/cell: -70.909

Unit cell a=5.5167 b=4.8856 c=4.8856 alpha=90.59 beta=111.24 gamma=111.24
Site moments in Bohr magnetons follow the coordinates.
Fractional coordinates of all 11 atoms:
Mn1 0.0000 0.7694 0.2306  3.82
Mn2 0.5000 0.0000 0.0000  3.54
Mn3 0.0000 0.2306 0.7694  3.82
Ni1 0.5000 0.5000 0.5000  1.77
O1 0.2926 0.1585 0.1585  -0.21
O2 0.2522 0.1004 0.6442  -0.34
O3 0.7478 0.3558 0.8996  -0.34
O4 0.2522 0.6442 0.1004  -0.34
O5 0.0000 0.5000 0.5000  -0.24
O6 0.7478 0.8996 0.3558  -0.34
O7 0.7074 0.8415 0.8415  -0.21

***

Here is an optimized crystal structure of Mn4NiO8 from the Alexandria database. Energies are from PBE with a Hubbard U.

SG: C2/m (12)
Distance to the lowest polymorph of the same formula, meV per atom: 40

Unit cell a=5.9600 b=5.9600 c=5.9838 alpha=61.40 beta=61.40 gamma=58.47
Site moments in Bohr magnetons follow the coordinates.
Fractional coordinates of all 13 atoms:
Mn1 0.5000 0.5000 0.5000  4.46
Mn2 0.0000 0.0000 0.0000  4.06
Mn3 0.0000 0.5000 0.0000  3.24
Mn4 0.5000 0.0000 0.0000  3.24
Ni1 0.5000 0.5000 0.0000  1.58
O1 0.7311 0.7311 0.8071  -0.18
O2 0.7258 0.2184 0.7954  -0.07
O3 0.2184 0.7258 0.7954  -0.07
O4 0.2559 0.2559 0.7784  -0.10
O5 0.7441 0.7441 0.2216  -0.10
O6 0.7816 0.2742 0.2046  -0.07
O7 0.2742 0.7816 0.2046  -0.07
O8 0.2689 0.2689 0.1929  -0.18

***

Here is an optimized crystal structure of Mn15NiO32 from the Alexandria database. Energies are from PBE with a Hubbard U.

SG: R-3m (166)
Raw total energy, eV/cell: -332.732

Unit cell a=8.2324 b=8.2324 c=8.2324 alpha=90.23 beta=90.23 gamma=90.23
Site moments in Bohr magnetons follow the coordinates.
Fractional coordinates of all 48 atoms:
Mn1 0.9984 0.2483 0.2483  3.29
Mn2 0.0000 0.5000 0.5000  3.29
Mn3 0.0016 0.7517 0.7517  3.29
Mn4 0.7498 0.5000 0.2502  3.29
Mn5 0.7498 0.2502 0.5000  3.29
Mn6 0.7517 0.7517 0.0016  3.29
Mn7 0.7517 0.0016 0.7517  3.29
Mn8 0.5000 0.5000 0.0000  3.29
Mn9 0.5000 0.2502 0.7498  3.29
Mn10 0.5000 0.7498 0.2502  3.29
Mn11 0.5000 0.0000 0.5000  3.29
Mn12 0.2483 0.2483 0.9984  3.29
Mn13 0.2502 0.5000 0.7498  3.29
Mn14 0.2483 0.9984 0.2483  3.29
Mn15 0.2502 0.7498 0.5000  3.29
Ni1 0.0000 0.0000 0.0000  0.58
O1 0.0132 0.2308 0.0132  -0.18
O2 0.0132 0.0132 0.2308  -0.18
O3 0.0151 0.7356 0.5158  -0.15
O4 0.0151 0.5158 0.7356  -0.15
O5 0.9849 0.2644 0.4842  -0.15
O6 0.9849 0.4842 0.2644  -0.15
O7 0.9868 0.7692 0.9868  -0.18
O8 0.9868 0.9868 0.7692  -0.18
O9 0.7633 0.2644 0.2644  -0.15
O10 0.7650 0.4853 0.4853  -0.14
O11 0.7661 0.7661 0.7661  -0.15
O12 0.7692 0.9868 0.9868  -0.18
O13 0.7356 0.7356 0.2367  -0.15
O14 0.7356 0.5158 0.0151  -0.15
O15 0.7356 0.2367 0.7356  -0.15
O16 0.7356 0.0151 0.5158  -0.15
O17 0.5147 0.5147 0.2350  -0.14
O18 0.5158 0.7356 0.0151  -0.15
O19 0.5158 0.0151 0.7356  -0.15
O20 0.5147 0.2350 0.5147  -0.14
O21 0.4853 0.4853 0.7650  -0.14
O22 0.4842 0.2644 0.9849  -0.15
O23 0.4842 0.9849 0.2644  -0.15
O24 0.4853 0.7650 0.4853  -0.14
O25 0.2644 0.4842 0.9849  -0.15
O26 0.2644 0.2644 0.7633  -0.15
O27 0.2644 0.9849 0.4842  -0.15
O28 0.2644 0.7633 0.2644  -0.15
O29 0.2308 0.0132 0.0132  -0.18
O30 0.2339 0.2339 0.2339  -0.15
O31 0.2350 0.5147 0.5147  -0.14
O32 0.2367 0.7356 0.7356  -0.15

***

Here is an optimized crystal structure of Mn3NiO4 from the Alexandria database. Energies are from PBE with a Hubbard U.

SG: P4/mmm (123)
Distance to the lowest polymorph of the same formula, meV per atom: 4

Unit cell a=3.1465 b=3.1465 c=8.8925 alpha=90.00 beta=90.00 gamma=90.00
Site moments in Bohr magnetons follow the coordinates.
Fractional coordinates of all 8 atoms:
Mn1 0.5000 0.5000 0.7571  4.64
Mn2 0.0000 0.0000 0.5000  4.64
Mn3 0.5000 0.5000 0.2429  4.64
Ni1 0.0000 0.0000 0.0000  1.80
O1 0.0000 0.0000 0.2404  0.16
O2 0.5000 0.5000 0.0000  0.17
O3 0.0000 0.0000 0.7596  0.16
O4 0.5000 0.5000 0.5000  0.14

***

Here is an optimized crystal structure of Mn5NiO12 from the Alexandria database. Energies are from PBE with a Hubbard U.

SG: C2/m (12)
Raw total energy, eV/cell: -120.244

Unit cell a=5.0447 b=5.0447 c=10.0278 alpha=90.04 beta=90.04 gamma=120.05
Site moments in Bohr magnetons follow the coordinates.
Fractional coordinates of all 18 atoms:
Mn1 0.1666 0.8334 0.5000  3.27
Mn2 0.3334 0.6666 0.0000  -3.28
Mn3 0.5000 0.5000 0.5000  3.27
Mn4 0.6666 0.3334 0.0000  -3.28
Mn5 0.8334 0.1666 0.5000  3.27
Ni1 0.0000 0.0000 0.0000  -0.61
O1 0.9999 0.6719 0.9054  0.18
O2 0.3281 0.0001 0.0946  0.18
O3 0.1670 0.5004 0.5963  -0.14
O4 0.4996 0.8330 0.4037  -0.14
O5 0.3278 0.3278 0.9054  0.18
O6 0.1664 0.1664 0.4038  -0.14
O7 0.6722 0.6722 0.0946  0.18
O8 0.8336 0.8336 0.5962  -0.14
O9 0.5004 0.1670 0.5963  -0.14
O10 0.8330 0.4996 0.4037  -0.14
O11 0.0001 0.3281 0.0946  0.18
O12 0.6719 0.9999 0.9054  0.18

***

Here is an optimized crystal structure of Mn2NiO14 from the Alexandria database. Energies are from PBE with a Hubbard U.

SG: Cm (8)
Distance to the lowest polymorph of the same formula, meV per atom: 0

Unit cell a=8.0894 b=8.0894 c=4.4150 alpha=88.39 beta=88.39 gamma=58.70
Site moments in Bohr magnetons follow the coordinates.
Fractional coordinates of all 17 atoms:
Mn1 0.3563 0.3563 0.4602  -0.35
Mn2 0.6535 0.6535 0.0318  -0.36
Ni1 0.9929 0.9929 0.7472  -0.77
O1 0.3083 0.3083 0.1333  0.36
O2 0.4732 0.4732 0.4171  0.34
O3 0.4882 0.1561 0.6430  0.22
O4 0.1561 0.4882 0.6430  0.22
O5 0.7089 0.7089 0.7080  0.30
O6 0.5377 0.5377 0.9706  0.42
O7 0.5160 0.8483 0.2162  0.21
O8 0.8483 0.5160 0.2162  0.21
O9 0.0889 0.0889 0.0292  1.25
O10 0.1019 0.7960 0.0396  1.24
O11 0.7960 0.1019 0.0396  1.24
O12 0.8978 0.8978 0.4614  1.25
O13 0.8874 0.1885 0.4509  1.24
O14 0.1885 0.8874 0.4509  1.24

***

Here is an optimized crystal structure of MnNi3O6 from the Alexandria database. Energies are from PBE with a Hubbard U.

SG: P2_1/c (14)
Raw total energy, eV/cell: -107.843

Unit cell a=4.9734 b=5.1376 c=7.6079 alpha=90.00 beta=89.20 gamma=90.00
Site moments in Bohr magnetons follow the coordinates.
Fractional coordinates of all 20 atoms:
Mn1 0.5000 0.5000 0.5000  3.31
Mn2 0.0000 0.0000 0.0000  3.31
Ni1 0.5041 0.9385 0.7986  1.56
Ni2 0.5000 0.5000 0.0000  1.47
Ni3 0.4959 0.0615 0.2014  1.56
Ni4 0.0041 0.5615 0.2986  1.56
Ni5 0.0000 0.0000 0.5000  1.47
Ni6 0.9959 0.4385 0.7014  1.56
O1 0.6743 0.1815 0.9582  -0.10
O2 0.6918 0.2008 0.6060  -0.19
O3 0.6427 0.4066 0.2710  -0.14
O4 0.3573 0.5934 0.7290  -0.14
O5 0.3082 0.7992 0.3940  -0.19
O6 0.3257 0.8185 0.0418  -0.10
O7 0.1743 0.3185 0.4582  -0.10
O8 0.1918 0.2992 0.1060  -0.19
O9 0.1427 0.0934 0.7710  -0.14
O10 0.8573 0.9066 0.2290  -0.14
O11 0.8082 0.7008 0.8940  -0.19
O12 0.8257 0.6815 0.5418  -0.10

***

Here is an optimized crystal structure of Mn3NiO4 from the Alexandria database. Energies are from PBE with a Hubbard U.

SG: Cmmm (65)
Distance to the lowest polymorph of the same formula, meV per atom: 0

Unit cell a=3.1471 b=5.4378 c=5.4378 alpha=70.47 beta=90.00 gamma=90.00
Site moments in Bohr magnetons follow the coordinates.
Fractional coordinates of all 8 atoms:
Mn1 0.0000 0.5000 0.5000  4.64
Mn2 0.5000 0.0000 0.5000  4.64
Mn3 0.5000 0.5000 0.0000  4.64
Ni1 0.0000 0.0000 0.0000  1.80
O1 0.0000 0.7540 0.7540  0.16
O2 0.5000 0.2403 0.7597  0.16
O3 0.5000 0.7597 0.2403  0.16
O4 0.0000 0.2460 0.2460  0.16

***

Number 1: spin magnetization 11.00 μB per formula unit. Number 2: spin magnetization 16.00 μB per formula unit. Number 3: spin magnetization 44.99 μB per formula unit. Number 4: spin magnetization 17.00 μB per formula unit. Number 5: spin magnetization 3.04 μB per formula unit. Number 6: spin magnetization 10.02 μB per formula unit. Number 7: spin magnetization 7.00 μB per formula unit. Number 8: spin magnetization 17.00 μB per formula unit.